Entry 1:
An optimized crystal structure of NaDy2Th, computed with PBE. Values from VASP.

Summary:
**Crystal system**: tetragonal
**E_form**: 0.10 eV per atom
**E above lowest polymorph**: 0.0 meV/atom
**E**: -4.383 eV per atom
**V**: 133 Å³/cell
**Space group**: P4/mmm

```
&SYSTEM
  ibrav = 0, nat = 4, ntyp = 3
/
ATOMIC_SPECIES
Dy 162.50 Dy.upf
Na 22.99 Na.upf
Th 232.04 Th.upf
ATOMIC_POSITIONS crystal
Dy 0.000 0.000 0.225
Na 0.500 0.500 0.500
Th 0.500 0.500 0.000
Dy 0.000 0.000 0.775
CELL_PARAMETERS angstrom
3.573 0.000 0.000
0.000 3.573 0.000
0.000 0.000 10.403
```


Entry 2:
An optimized crystal structure of NaDyTh2, computed with PBE. Values from VASP.

Summary:
**Crystal system**: trigonal
**E_form**: 0.24 eV per atom
**E**: -4.954 eV per atom
**V**: 136 Å³/cell
**Space group**: R-3m

```
&SYSTEM
  ibrav = 0, nat = 4, ntyp = 3
/
ATOMIC_SPECIES
Th 232.04 Th.upf
Na 22.99 Na.upf
Dy 162.50 Dy.upf
ATOMIC_POSITIONS crystal
Th 0.909 0.909 0.274
Na 0.000 0.000 0.000
Th 0.091 0.091 0.726
Dy 0.500 0.500 0.500
CELL_PARAMETERS angstrom
-1.859 -2.878 -0.584
1.425 -2.673 -1.703
4.013 -6.826 10.523
```


Entry 3:
An optimized crystal structure of NaDyTh, computed with PBE. Values from VASP.

Summary:
**Crystal system**: trigonal
**E_form**: 0.17 eV per atom
**E above lowest polymorph**: 0.0 meV/atom
**E**: -4.280 eV per atom
**V**: 100 Å³/cell
**Space group**: P3m1

```
&SYSTEM
  ibrav = 0, nat = 3, ntyp = 3
/
ATOMIC_SPECIES
Dy 162.50 Dy.upf
Na 22.99 Na.upf
Th 232.04 Th.upf
ATOMIC_POSITIONS crystal
Dy 0.333 0.667 0.652
Na 0.000 0.000 0.997
Th 0.667 0.333 0.351
CELL_PARAMETERS angstrom
-1.339 0.771 -3.166
0.148 -3.349 1.082
-8.432 0.848 3.772
```


Entry 4:
An optimized crystal structure of NaDy2Th, computed with PBE. Values from VASP.

Summary:
**Crystal system**: trigonal
**E_form**: 0.15 eV per atom
**E above lowest polymorph**: 45.2 meV/atom
**E**: -4.338 eV per atom
**V**: 137 Å³/cell
**Space group**: R-3m

```
&SYSTEM
  ibrav = 0, nat = 4, ntyp = 3
/
ATOMIC_SPECIES
Dy 162.50 Dy.upf
Th 232.04 Th.upf
Na 22.99 Na.upf
ATOMIC_POSITIONS crystal
Dy 0.093 0.093 0.720
Th 0.500 0.500 0.500
Na 0.000 0.000 0.000
Dy 0.907 0.907 0.280
CELL_PARAMETERS angstrom
-2.269 -1.794 2.050
0.910 -0.867 3.315
-5.257 9.929 5.935
```


Entry 5:
An optimized crystal structure of NaDyTh, computed with PBE. Values from VASP.

Summary:
**Crystal system**: orthorhombic
**E_form**: 0.53 eV per atom
**E above lowest polymorph**: 358.5 meV/atom
**E**: -3.921 eV per atom
**V**: 207 Å³/cell
**Space group**: Fmmm

```
&SYSTEM
  ibrav = 0, nat = 6, ntyp = 3
/
ATOMIC_SPECIES
Dy 162.50 Dy.upf
Th 232.04 Th.upf
Na 22.99 Na.upf
ATOMIC_POSITIONS crystal
Dy 0.326 0.000 0.347
Th 0.250 0.500 0.500
Na 0.875 0.250 0.000
Na 0.125 0.750 0.000
Dy 0.674 0.000 0.653
Th 0.750 0.500 0.500
CELL_PARAMETERS angstrom
-0.408 -3.051 5.828
5.440 -2.623 2.735
0.796 3.205 5.460
```


Entry 6:
An optimized crystal structure of NaDyTl2, computed with PBE. Values from VASP.

Summary:
**Crystal system**: cubic
**E_form**: -0.23 eV per atom
**E above lowest polymorph**: 24.6 meV/atom
**E**: -2.890 eV per atom
**V**: 107 Å³/cell
**Space group**: Fm-3m

```
&SYSTEM
  ibrav = 0, nat = 4, ntyp = 3
/
ATOMIC_SPECIES
Na 22.99 Na.upf
Dy 162.50 Dy.upf
Tl 204.38 Tl.upf
ATOMIC_POSITIONS crystal
Na 0.000 0.000 0.000
Dy 0.500 0.500 0.500
Tl 0.250 0.250 0.250
Tl 0.750 0.750 0.750
CELL_PARAMETERS angstrom
-1.299 -2.440 -4.562
-4.154 -3.344 -0.148
-4.450 1.388 -2.593
```


Entry 7:
An optimized crystal structure of NaDyTl, computed with PBE. Values from VASP.

Summary:
**Crystal system**: tetragonal
**E_form**: 0.00 eV per atom
**E above lowest polymorph**: 147.6 meV/atom
**E**: -2.758 eV per atom
**V**: 90 Å³/cell
**Space group**: I4mm

```
&SYSTEM
  ibrav = 0, nat = 3, ntyp = 3
/
ATOMIC_SPECIES
Na 22.99 Na.upf
Tl 204.38 Tl.upf
Dy 162.50 Dy.upf
ATOMIC_POSITIONS crystal
Na 0.599 0.599 0.199
Tl 0.946 0.946 0.892
Dy 0.305 0.305 0.609
CELL_PARAMETERS angstrom
-3.744 -0.351 -0.272
-0.172 -0.988 3.635
1.269 6.766 -0.057
```


Entry 8:
An optimized crystal structure of Na2Dy2Tl3, computed with PBE. Values from VASP.

Summary:
**Crystal system**: orthorhombic
**E_form**: -0.20 eV per atom
**E**: -2.907 eV per atom
**V**: 209 Å³/cell
**Space group**: Cmmm

```
&SYSTEM
  ibrav = 0, nat = 7, ntyp = 3
/
ATOMIC_SPECIES
Tl 204.38 Tl.upf
Na 22.99 Na.upf
Dy 162.50 Dy.upf
ATOMIC_POSITIONS crystal
Tl 0.870 0.000 0.259
Tl 0.130 0.000 0.741
Na 0.697 0.500 0.606
Na 0.303 0.500 0.394
Tl 0.000 0.000 0.000
Dy 0.566 0.500 0.868
Dy 0.434 0.500 0.132
CELL_PARAMETERS angstrom
3.807 0.000 0.505
0.000 3.737 0.000
-0.014 0.000 14.702
```


Entry 9:
An optimized crystal structure of NaDyTl2, computed with PBE. Values from VASP.

Summary:
**Crystal system**: trigonal
**E_form**: -0.10 eV per atom
**E above lowest polymorph**: 150.5 meV/atom
**E**: -2.764 eV per atom
**V**: 118 Å³/cell
**Space group**: R-3m

```
&SYSTEM
  ibrav = 0, nat = 4, ntyp = 3
/
ATOMIC_SPECIES
Na 22.99 Na.upf
Tl 204.38 Tl.upf
Dy 162.50 Dy.upf
ATOMIC_POSITIONS crystal
Na 0.500 0.500 0.500
Tl 0.251 0.251 0.248
Tl 0.749 0.749 0.752
Dy 0.000 0.000 0.000
CELL_PARAMETERS angstrom
-1.228 0.529 -3.362
-2.858 -1.869 -1.197
-7.685 6.991 1.960
```


Entry 10:
An optimized crystal structure of NaDyTl4, computed with PBE. Values from VASP.

Summary:
**Crystal system**: monoclinic
**E_form**: -0.13 eV per atom
**E**: -2.695 eV per atom
**V**: 170 Å³/cell
**Space group**: Pm

```
&SYSTEM
  ibrav = 0, nat = 6, ntyp = 3
/
ATOMIC_SPECIES
Tl 204.38 Tl.upf
Dy 162.50 Dy.upf
Na 22.99 Na.upf
ATOMIC_POSITIONS crystal
Tl 0.264 0.997 0.161
Dy 0.986 0.997 0.490
Tl 0.690 0.997 0.826
Na 0.508 0.497 0.005
Tl 0.839 0.497 0.666
Tl 0.220 0.497 0.341
CELL_PARAMETERS angstrom
3.517 -0.020 -0.851
0.027 5.060 -0.002
-1.886 0.011 10.019
```


Entry 11:
An optimized crystal structure of NaDy4Tl7, computed with PBE. Values from VASP.

Summary:
**Crystal system**: monoclinic
**E_form**: -0.11 eV per atom
**E**: -3.138 eV per atom
**V**: 360 Å³/cell
**Space group**: C2/m

```
&SYSTEM
  ibrav = 0, nat = 12, ntyp = 3
/
ATOMIC_SPECIES
Tl 204.38 Tl.upf
Dy 162.50 Dy.upf
Na 22.99 Na.upf
ATOMIC_POSITIONS crystal
Tl 0.367 0.549 0.717
Dy 0.284 0.333 0.099
Tl 0.633 0.451 0.283
Dy 0.418 0.783 0.381
Dy 0.582 0.217 0.619
Tl 0.922 0.321 0.835
Tl 0.223 0.107 0.447
Tl 0.078 0.679 0.165
Na 0.000 0.000 0.000
Dy 0.716 0.667 0.901
Tl 0.777 0.893 0.553
Tl 0.500 0.000 0.000
CELL_PARAMETERS angstrom
-0.225 2.276 4.961
-4.500 -6.538 5.802
5.856 -2.045 4.211
```


Entry 12:
An optimized crystal structure of NaDyTl, computed with PBE. Values from VASP.

Summary:
**Crystal system**: trigonal
**E_form**: 0.03 eV per atom
**E above lowest polymorph**: 170.7 meV/atom
**E**: -2.735 eV per atom
**V**: 183 Å³/cell
**Space group**: R-3m

```
&SYSTEM
  ibrav = 0, nat = 6, ntyp = 3
/
ATOMIC_SPECIES
Na 22.99 Na.upf
Tl 204.38 Tl.upf
Dy 162.50 Dy.upf
ATOMIC_POSITIONS crystal
Na 0.125 0.125 0.625
Tl 0.571 0.571 0.286
Na 0.875 0.875 0.375
Tl 0.429 0.429 0.714
Dy 0.708 0.708 0.876
Dy 0.292 0.292 0.124
CELL_PARAMETERS angstrom
-2.811 -4.200 1.785
1.444 -4.973 -1.382
3.888 -3.445 6.064
```